Crystalline Sm2DyHo9 at its relaxed geometry. Source: Alexandria via LeMat-Bulk, functional GGA-PBE.

Calculated values
**M_tot**: 0.00 μB/atom
**E_form**: 63 meV/atom
**E_tot**: -4.54 eV/atom

Geometry as CIF:
```
data_Sm2DyHo9
_chemical_formula_sum 'Sm2 Dy1 Ho9'
_cell_length_a 11.1995
_cell_length_b 11.1995
_cell_length_c 3.4860
_cell_angle_alpha 90.00
_cell_angle_beta 90.00
_cell_angle_gamma 120.00
_space_group_name_H-M_alt 'P 6/m m m'
_space_group_IT_number 191
_space_group_name_Hall '-P 6 2'
loop_
_atom_site_label
_atom_site_type_symbol
_atom_site_fract_x
_atom_site_fract_y
_atom_site_fract_z
_atom_site_occupancy
Sm1 Sm 0.3333 0.6667 0.0000 1
Dy1 Dy 0.0000 0.0000 0.0000 1
Ho1 Ho 0.0000 0.5000 0.0000 1
Ho2 Ho 0.1747 0.3494 0.5000 1
```